DFT (SCAN) results for a PBEsol-optimized structure of Sc2BeSiSe.

Formation energy (no corrections)   0.09 eV/atom
Total magnetic moment   0.000 Bohr magnetons per cell

Geometry as CIF:
```
data_Sc2BeSiSe
_cell_length_a 4.836
_cell_length_b 4.836
_cell_length_c 3.949
_cell_angle_alpha 90.00
_cell_angle_beta 90.00
_cell_angle_gamma 90.00
_space_group_name_H-M_alt 'P 4/m m m'
_space_group_IT_number 123
_space_group_name_Hall '-P 4 2'
loop_
_atom_site_label
_atom_site_fract_x
_atom_site_fract_y
_atom_site_fract_z
Sc1 0.000 0.500 0.000
Be1 0.000 0.000 0.000
Si1 0.500 0.500 0.500
Se1 0.000 0.000 0.500
```

---

DFT (SCAN) results for a PBEsol-optimized structure of Mn2GaCuHg.

DFT formation energy   0.4776 eV/atom
Total magnetic moment   8.816 Bohr magnetons per cell

Geometry as CIF:
```
data_Mn2GaCuHg
_cell_length_a 4.560
_cell_length_b 4.560
_cell_length_c 4.756
_cell_angle_alpha 90.00
_cell_angle_beta 90.00
_cell_angle_gamma 90.00
_space_group_name_H-M_alt 'P 4/m m m'
_space_group_IT_number 123
_space_group_name_Hall '-P 4 2'
loop_
_atom_site_label
_atom_site_fract_x
_atom_site_fract_y
_atom_site_fract_z
Mn1 0.000 0.500 0.000
Ga1 0.000 0.000 0.500
Cu1 0.500 0.500 0.000
Hg1 0.500 0.500 0.500
```

---

DFT (SCAN) results for a PBEsol-optimized structure of ZrInCu2.

DFT formation energy   -0.0543 eV/atom
Total magnetic moment   0.000 Bohr magnetons per cell

Geometry as CIF:
```
data_ZrInCu2
_cell_length_a 4.533
_cell_length_b 4.533
_cell_length_c 6.371
_cell_angle_alpha 90.00
_cell_angle_beta 90.00
_cell_angle_gamma 90.00
_space_group_name_H-M_alt 'I -4 m 2'
_space_group_IT_number 119
_space_group_name_Hall 'I -4 -2'
loop_
_atom_site_label
_atom_site_fract_x
_atom_site_fract_y
_atom_site_fract_z
Zr1 0.000 0.000 0.000
In1 0.000 0.500 0.750
Cu1 0.000 0.000 0.500
Cu2 0.000 0.500 0.250
```

---

DFT (SCAN) results for a PBEsol-optimized structure of Mg2CdSb2.

E above lowest polymorph   0.00 eV/f.u.
Formation energy (no corrections)   -0.12 eV/atom
Total magnetic moment   0.000 Bohr magnetons per cell

Geometry as CIF:
```
data_Mg2CdSb2
_cell_length_a 8.602
_cell_length_b 8.602
_cell_length_c 3.284
_cell_angle_alpha 90.00
_cell_angle_beta 90.00
_cell_angle_gamma 90.00
_space_group_name_H-M_alt 'P 4/m b m'
_space_group_IT_number 127
_space_group_name_Hall '-P 4 2ab'
loop_
_atom_site_label
_atom_site_fract_x
_atom_site_fract_y
_atom_site_fract_z
Mg1 0.138 0.362 0.000
Cd1 0.000 0.000 0.500
Sb1 0.160 0.660 0.500
```

---

Number 1: uncorrected energy -12.49 eV/atom. Number 2: uncorrected energy -26.77 eV/atom. Number 3: uncorrected energy -23.68 eV/atom. Number 4: uncorrected energy -23.10 eV/atom.